1.
A plane-wave DFT calculation with GGA-PBE was carried out for a geometry-optimized Tm7In2Ni2 structure.

a b c (Å): 6.723 6.864 6.723
angles (deg): 89.99 108.47 90.01
Fractional positions:
Tm 0.000 0.245 0.500
Tm 0.500 0.755 0.000
Tm 0.000 0.755 0.500
Tm 0.500 0.245 0.000
Tm 0.000 0.000 0.000
Tm 0.500 0.764 0.500
Tm 0.500 0.236 0.500
In 0.822 0.500 0.822
In 0.178 0.500 0.178
Ni 0.706 0.000 0.294
Ni 0.294 0.000 0.706

E_form: -0.236 eV per atom
symmetry: Cmmm (65)
DOS at the Fermi energy: 9.07 states/eV per cell

2.
A plane-wave DFT calculation with GGA-PBE was carried out for a geometry-optimized TaAlRe2 structure.

a b c (Å): 4.371 2.745 5.281
angles (deg): 80.51 90.00 90.00
Fractional positions:
Re 0.000 0.032 0.989
Re 0.000 0.468 0.511
Al 0.500 0.750 0.750
Ta 0.500 0.250 0.250

E_form: -0.128 eV per atom
symmetry: P2/m (10)
DOS at the Fermi energy: 2.57 states/eV per cell

3.
A plane-wave DFT calculation with GGA-PBE was carried out for a geometry-optimized Sm14TmPu structure.

a b c (Å): 7.314 7.314 11.580
angles (deg): 90.00 90.00 119.91
Each line ends with the local moment (μB).
Fractional positions:
Sm 0.334 0.666 0.500  0.00
Sm 0.834 0.166 0.500  -0.08
Sm 0.833 0.664 0.000  0.07
Sm 0.834 0.666 0.500  0.00
Sm 0.336 0.167 0.000  0.07
Sm 0.334 0.166 0.500  0.00
Sm 0.668 0.838 0.756  0.03
Sm 0.668 0.838 0.244  0.03
Sm 0.162 0.332 0.756  0.03
Sm 0.162 0.332 0.244  0.03
Sm 0.166 0.834 0.751  -0.04
Sm 0.166 0.834 0.249  -0.04
Sm 0.668 0.332 0.753  0.02
Sm 0.668 0.332 0.247  0.02
Tm 0.334 0.666 0.000  0.12
Pu 0.833 0.167 0.000  5.60

E_form: 0.052 eV per atom
symmetry: Amm2 (38)
DOS at the Fermi energy: 30.43 states/eV per cell

4.
A plane-wave DFT calculation with GGA-PBE was carried out for a geometry-optimized Ac6MgCd3 structure.

a b c (Å): 5.812 10.204 12.804
angles (deg): 107.69 90.00 90.00
Fractional positions:
Ac 0.250 0.469 0.092
Ac 0.750 0.531 0.908
Ac 0.250 0.129 0.159
Ac 0.750 0.871 0.841
Ac 0.250 0.652 0.682
Ac 0.750 0.348 0.318
Ac 0.250 0.260 0.502
Ac 0.750 0.740 0.498
Ac 0.250 0.839 0.307
Ac 0.750 0.161 0.693
Ac 0.250 0.099 0.875
Ac 0.750 0.901 0.125
Mg 0.250 0.955 0.592
Mg 0.750 0.045 0.408
Cd 0.250 0.540 0.386
Cd 0.750 0.460 0.614
Cd 0.250 0.376 0.783
Cd 0.750 0.624 0.217
Cd 0.250 0.773 0.976
Cd 0.750 0.227 0.024

E_form: -0.141 eV per atom
symmetry: P2_1/m (11)
DOS at the Fermi energy: 21.36 states/eV per cell